! PbSeO3 (PBEsol, relaxed); values from VASP
&SYSTEM
  ibrav = 0, nat = 40, ntyp = 3
/
ATOMIC_SPECIES
O 16.00 O.upf
Pb 207.20 Pb.upf
Se 78.96 Se.upf
ATOMIC_POSITIONS crystal
O 0.052 0.157 0.356
O 0.660 0.342 0.637
O 0.160 0.658 0.863
O 0.889 0.658 0.034
O 0.383 0.870 0.627
O 0.318 0.129 0.124
O 0.950 0.611 0.392
O 0.050 0.389 0.608
O 0.883 0.130 0.873
O 0.682 0.871 0.876
O 0.818 0.871 0.376
O 0.182 0.129 0.624
O 0.450 0.389 0.108
O 0.448 0.157 0.856
O 0.611 0.658 0.534
O 0.117 0.870 0.127
O 0.340 0.658 0.363
O 0.550 0.611 0.892
O 0.617 0.130 0.373
O 0.389 0.342 0.466
O 0.948 0.843 0.644
O 0.840 0.342 0.137
O 0.552 0.843 0.144
O 0.111 0.342 0.966
Pb 0.321 0.397 0.770
Pb 0.167 0.992 0.825
Pb 0.833 0.008 0.175
Pb 0.667 0.008 0.675
Pb 0.179 0.397 0.270
Pb 0.679 0.603 0.230
Pb 0.333 0.992 0.325
Pb 0.821 0.603 0.730
Se 0.603 0.323 0.447
Se 0.995 0.798 0.446
Se 0.495 0.202 0.054
Se 0.103 0.677 0.053
Se 0.505 0.798 0.946
Se 0.005 0.202 0.554
Se 0.897 0.323 0.947
Se 0.397 0.677 0.553
CELL_PARAMETERS angstrom
-6.513 -4.568 -1.046
3.795 -6.568 5.055
-4.343 4.836 5.920
! - space group = P2_1/c
! - VASP energy (eV per atom) = -5.746